Density functional theory data (GGA+U) for a relaxed CoAuN2F crystal.

The structure in POSCAR format:
```
CoAuN2F
1.0
3.705 0.000 0.000
0.000 3.705 0.000
0.000 0.000 4.200
Co Au N F
1 1 2 1
direct
0.000 0.000 0.000
0.500 0.500 0.500
0.000 0.500 0.000
0.500 0.000 0.000
0.000 0.000 0.500
```

Computed properties:
Polymorph energy (0 for the lowest one) = 0.0000 eV per atom
Crystal system = tetragonal
Volume = 11.5 Å³ per atom